No. 1
Below is a relaxed YBe2CuTc crystal, with properties calculated at the PBE-GGA level.

a b c (Å): 4.254 4.254 4.695
angles (deg): 90.00 90.00 90.00
Space group P4/mmm (No. 123)
Unique sites:
Y (0.000, 0.000, 0.000) (multiplicity 1)
Be (0.000, 0.500, 0.500) (multiplicity 2)
Cu (0.500, 0.500, 0.000) (multiplicity 1)
Tc (0.500, 0.500, 0.500) (multiplicity 1)

Computed properties:
The value obtained for the energy of formation is 0.307 eV/atom. The value obtained for the volume is 17.0 A^3/atom. The calculation puts the total magnetic moment at 0.000 μB per formula unit.

***

No. 2
Below is a relaxed Be2ZnCuTc crystal, with properties calculated at the PBE-GGA level.

a b c (Å): 3.950 3.950 4.599
angles (deg): 90.00 90.00 90.00
Space group P4/mmm (No. 123)
Unique sites:
Be (0.000, 0.500, 0.000) (multiplicity 2)
Zn (0.000, 0.000, 0.500) (multiplicity 1)
Cu (0.500, 0.500, 0.000) (multiplicity 1)
Tc (0.500, 0.500, 0.500) (multiplicity 1)

Computed properties:
The value obtained for the energy of formation is 0.839 eV/atom. The value obtained for the volume is 14.4 A^3/atom. The calculation puts the total magnetic moment at 0.281 μB per formula unit.

***

No. 3
Below is a relaxed Be4CuTe crystal, with properties calculated at the PBE-GGA level.

a b c (Å): 6.600 6.600 6.600
angles (deg): 90.00 90.00 90.00
Space group F-43m (No. 216)
Unique sites:
Be (0.122, 0.122, 0.122) (multiplicity 16)
Cu (0.250, 0.250, 0.750) (multiplicity 4)
Te (0.000, 0.000, 0.500) (multiplicity 4)

Computed properties:
The value obtained for the formation energy without anion corrections is 0.461 eV/atom. The value obtained for the volume is 12.0 A^3/atom. The calculation puts the total magnetic moment at 0.000 μB per formula unit.

***

The calculation returns the following calculated total energy values, one per record and in order: -26.8 -19.0 -77.5 eV/cell.